[1]
DFT (GGA-PBE) results for a relaxed Pm2In2GaPt4 crystal.

a = 6.572 Å, b = 6.572 Å, c = 6.572 Å
α = 119.77°, β = 119.77°, γ = 90.40°
Atoms (fractional coordinates):
1 Pm 0.196 0.196 0.000
2 Pm 0.804 0.804 0.000
3 In 0.250 0.750 0.500
4 In 0.750 0.250 0.500
5 Ga 0.500 0.500 0.000
6 Pt 0.237 0.237 0.475
7 Pt 0.237 0.763 0.000
8 Pt 0.763 0.237 0.000
9 Pt 0.763 0.763 0.525

Computed properties:
Formation energy = -361.5 meV/atom
E_tot = -5.047 eV per atom

=====

[2]
DFT (GGA-PBE) results for a relaxed Pm3InGa2Pt9 crystal.

a = 5.661 Å, b = 5.661 Å, c = 12.209 Å
α = 90.00°, β = 90.00°, γ = 120.00°
Atoms (fractional coordinates):
1 Pm 0.000 0.000 0.000
2 Pm 0.333 0.667 0.769
3 Pm 0.667 0.333 0.231
4 In 0.000 0.000 0.500
5 Ga 0.333 0.667 0.161
6 Ga 0.667 0.333 0.839
7 Pt 0.000 0.500 0.000
8 Pt 0.164 0.328 0.315
9 Pt 0.164 0.836 0.315
10 Pt 0.328 0.164 0.685
11 Pt 0.500 0.000 0.000
12 Pt 0.500 0.500 0.000
13 Pt 0.672 0.836 0.315
14 Pt 0.836 0.164 0.685
15 Pt 0.836 0.672 0.685

Computed properties:
Formation energy = -734.5 meV/atom
E_tot = -5.895 eV per atom

=====

[3]
DFT (GGA-PBE) results for a relaxed PmPuInGa crystal.

a = 5.290 Å, b = 5.290 Å, c = 5.290 Å
α = 60.00°, β = 60.00°, γ = 60.00°
Atoms (fractional coordinates):
1 Pm 0.000 0.000 0.000
2 Pu 0.500 0.500 0.500
3 In 0.750 0.750 0.750
4 Ga 0.250 0.250 0.250

Computed properties:
Formation energy = -294.2 meV/atom
E_tot = -6.506 eV per atom